# Fe5Ir4

Fe5Ir4 after structural relaxation (GGA-PBE, Alexandria via LeMat-Bulk).

Summary:
* M_tot: 1.374 μB per atom
* Fermi-level density of states: 26.7 states/eV/cell
* density: 14.58 g/cm3
* calculated formation energy: 0.128 eV per atom
* VASP energy: -8.511 eV per atom

The structure in POSCAR format:
```
Fe5Ir4
1.0
-2.7225 6.0402 -3.0335
-4.9420 3.9717 3.5916
3.8091 2.7962 2.1491
Ir Fe
8 10
Cartesian
1.1808 3.4442 2.8299
0.0290 2.7475 -0.4915
-2.3137 3.3238 2.9108
-1.3325 6.7704 2.9566
-2.5230 6.0377 -0.2494
0.0000 0.0000 0.0000
1.0577 6.0889 -0.3929
1.9046 1.3981 1.0746
-3.2051 8.0727 1.4467
-5.1097 6.6746 0.3721
-3.2509 5.3593 1.9235
-0.8640 4.7286 -1.4864
-0.6045 7.4488 0.7837
-0.6928 2.0212 1.7329
-2.5548 3.3373 0.1860
1.9506 4.1078 0.6021
-0.4401 4.7468 4.0079
-0.6503 4.7354 1.2606
```



# Fe2Ir3

Fe2Ir3 after structural relaxation (GGA-PBE, Alexandria via LeMat-Bulk).

Summary:
* M_tot: 1.029 μB per atom
* Fermi-level density of states: 6.5 states/eV/cell
* density: 16.77 g/cm3
* calculated formation energy: -0.003 eV per atom
* VASP energy: -8.705 eV per atom

The structure in POSCAR format:
```
Fe2Ir3
1.0
10.7453 -1.3549 -0.0080
10.7453 1.3549 -0.0080
10.5762 0.0000 2.3326
Ir Fe
3 2
Cartesian
0.0000 0.0000 0.0000
25.5738 0.0000 1.8475
6.4931 0.0000 0.4691
19.2490 0.0000 1.3906
12.8179 0.0000 0.9260
```



# Fe2Ir3

Fe2Ir3 after structural relaxation (GGA-PBE, Alexandria via LeMat-Bulk).

Summary:
* M_tot: 1.140 μB per atom
* Fermi-level density of states: 11.4 states/eV/cell
* density: 16.63 g/cm3
* calculated formation energy: 0.036 eV per atom
* VASP energy: -8.666 eV per atom

The structure in POSCAR format:
```
Fe2Ir3
1.0
0.0000 4.5684 6.3722
2.3605 0.0000 6.3722
2.3605 4.5684 0.0000
Fe Ir
4 6
Cartesian
2.9637 6.6122 5.7768
1.7834 4.8087 2.5907
1.7834 4.3280 10.1537
2.9637 2.5245 6.9676
1.9423 4.1165 5.1165
3.1226 7.3045 8.3026
3.1226 6.4007 10.8140
0.8101 2.2842 3.1861
1.9423 5.0203 7.6279
4.3508 4.5684 6.3722
```



# FeIr

FeIr after structural relaxation (GGA-PBE, Alexandria via LeMat-Bulk).

Summary:
* M_tot: 1.336 μB per atom
* Fermi-level density of states: 4.6 states/eV/cell
* density: 15.31 g/cm3
* calculated formation energy: 0.019 eV per atom
* VASP energy: -8.643 eV per atom

The structure in POSCAR format:
```
FeIr
1.0
-1.7881 0.1842 -2.0118
1.6508 -8.5086 -0.4374
-2.6430 -0.1123 0.5298
Ir Fe
2 2
Cartesian
-1.3882 -4.3136 -0.9701
-2.9126 -1.9780 -1.2104
0.1312 -6.4076 -0.7034
-2.7812 -8.3926 -1.9145
```



# FeIr3

FeIr3 after structural relaxation (GGA-PBE, Alexandria via LeMat-Bulk).

Summary:
* M_tot: 0.602 μB per atom
* Fermi-level density of states: 4.6 states/eV/cell
* density: 18.84 g/cm3
* calculated formation energy: -0.037 eV per atom
* VASP energy: -8.798 eV per atom

The structure in POSCAR format:
```
FeIr3
1.0
2.7139 0.0000 -0.0055
0.0000 3.7917 0.0000
2.7253 0.0000 5.4118
Ir Fe
3 1
Cartesian
4.0783 1.8959 4.0834
1.3609 1.8959 1.3230
2.7196 0.0000 2.7032
0.0000 0.0000 0.0000
```



# Fe2Ir3

Fe2Ir3 after structural relaxation (GGA-PBE, Alexandria via LeMat-Bulk).

Summary:
* M_tot: 1.281 μB per atom
* Fermi-level density of states: 6.2 states/eV/cell
* density: 15.53 g/cm3
* calculated formation energy: 0.278 eV per atom
* VASP energy: -8.423 eV per atom

The structure in POSCAR format:
```
Fe2Ir3
1.0
-3.1543 2.3179 1.1329
1.1645 -0.0892 -3.9041
-3.1846 -3.9131 -0.8606
Fe Ir
2 3
Cartesian
-2.2549 0.8517 -0.6921
-2.9195 -2.5361 -2.9397
-3.7874 -1.0312 -1.1062
0.0000 0.0000 0.0000
-1.3870 -0.6531 -2.5256
```